1.
Computed, not measured: a geometry-optimized NaLi2Ti3S8 structure at the PBE-GGA level of DFT.

## Properties
Crystal system: trigonal
Theoretical density (Mg/m³): 2.5

Cell and atoms, written as CIF:
```
data_NaLi2Ti3S8
_symmetry_space_group_name_H-M 'R 3 m'
_symmetry_Int_Tables_number 160
_symmetry_space_group_name_Hall 'R 3 -2"'
_cell_length_a 7.1025
_cell_length_b 7.1025
_cell_length_c 19.7682
_cell_angle_alpha 90.00
_cell_angle_beta 90.00
_cell_angle_gamma 120.00
loop_
_atom_site_label
_atom_site_type_symbol
_atom_site_fract_x
_atom_site_fract_y
_atom_site_fract_z
Na1 Na 0.0000 0.0000 0.0000
Li1 Li 0.0000 0.0000 0.2634
Li2 Li 0.0000 0.0000 0.6268
Ti1 Ti 0.0035 0.5018 0.1355
S1 S 0.0000 0.0000 0.3951
S2 S 0.0000 0.0000 0.8693
S3 S 0.0395 0.5197 0.3971
S4 S 0.1739 0.3478 0.2039
```

2.
Computed, not measured: a geometry-optimized NaLiTlS2 structure at the PBE-GGA level of DFT.

## Properties
Crystal system: monoclinic
Theoretical density (Mg/m³): 4.1

Cell and atoms, written as CIF:
```
data_NaLiTlS2
_symmetry_space_group_name_H-M 'C 1 2/m 1'
_symmetry_Int_Tables_number 12
_symmetry_space_group_name_Hall '-C 2y'
_cell_length_a 14.517
_cell_length_b 4.171
_cell_length_c 8.043
_cell_angle_alpha 90.00
_cell_angle_beta 93.10
_cell_angle_gamma 90.00
loop_
_atom_site_label
_atom_site_type_symbol
_atom_site_fract_x
_atom_site_fract_y
_atom_site_fract_z
Na1 Na 0.204 0.000 0.187
Li1 Li 0.183 0.000 0.566
Tl1 Tl 0.038 0.500 0.735
S1 S 0.143 0.500 0.424
S2 S 0.147 0.000 0.855
```

3.
Computed, not measured: a geometry-optimized NaLiTm2S4 structure at the PBE-GGA level of DFT.

## Properties
Crystal system: orthorhombic
Theoretical density (Mg/m³): 4.9

Cell and atoms, written as CIF:
```
data_NaLiTm2S4
_symmetry_space_group_name_H-M 'I m m a'
_symmetry_Int_Tables_number 74
_symmetry_space_group_name_Hall '-I 2b 2'
_cell_length_a 7.781
_cell_length_b 7.854
_cell_length_c 11.061
_cell_angle_alpha 90.00
_cell_angle_beta 90.00
_cell_angle_gamma 90.00
loop_
_atom_site_label
_atom_site_type_symbol
_atom_site_fract_x
_atom_site_fract_y
_atom_site_fract_z
Na1 Na 0.250 0.250 0.250
Li1 Li 0.000 0.000 0.000
Tm1 Tm 0.000 0.000 0.500
Tm2 Tm 0.250 0.250 0.750
S1 S 0.000 0.013 0.746
S2 S 0.244 0.250 0.506
```

4.
Computed, not measured: a geometry-optimized Na2LiU2S6 structure at the PBE-GGA level of DFT.

## Properties
Crystal system: monoclinic
Theoretical density (Mg/m³): 4.4

Cell and atoms, written as CIF:
```
data_Na2LiU2S6
_symmetry_space_group_name_H-M 'C 1 2/m 1'
_symmetry_Int_Tables_number 12
_symmetry_space_group_name_Hall '-C 2y'
_cell_length_a 6.778
_cell_length_b 12.008
_cell_length_c 6.980
_cell_angle_alpha 90.00
_cell_angle_beta 107.85
_cell_angle_gamma 90.00
loop_
_atom_site_label
_atom_site_type_symbol
_atom_site_fract_x
_atom_site_fract_y
_atom_site_fract_z
Na1 Na 0.000 0.160 0.000
Li1 Li 0.000 0.000 0.500
U1 U 0.000 0.336 0.500
S1 S 0.231 0.500 0.712
S2 S 0.242 0.179 0.718
```

5.
Computed, not measured: a geometry-optimized Na3Li2US6 structure at the PBE-GGA level of DFT.

## Properties
Crystal system: monoclinic
Theoretical density (Mg/m³): 3.4

Cell and atoms, written as CIF:
```
data_Na3Li2US6
_symmetry_space_group_name_H-M 'C 1 2/m 1'
_symmetry_Int_Tables_number 12
_symmetry_space_group_name_Hall '-C 2y'
_cell_length_a 6.619
_cell_length_b 11.482
_cell_length_c 6.972
_cell_angle_alpha 90.00
_cell_angle_beta 108.54
_cell_angle_gamma 90.00
loop_
_atom_site_label
_atom_site_type_symbol
_atom_site_fract_x
_atom_site_fract_y
_atom_site_fract_z
Na1 Na 0.000 0.000 0.000
Na2 Na 0.000 0.329 0.000
Li1 Li 0.000 0.167 0.500
U1 U 0.000 0.500 0.500
S1 S 0.233 0.340 0.720
S2 S 0.245 0.500 0.282
```

6.
Computed, not measured: a geometry-optimized NaLi2U3S6 structure at the PBE-GGA level of DFT.

## Properties
Crystal system: monoclinic
Theoretical density (Mg/m³): 6.2

Cell and atoms, written as CIF:
```
data_NaLi2U3S6
_symmetry_space_group_name_H-M 'C 1 2/m 1'
_symmetry_Int_Tables_number 12
_symmetry_space_group_name_Hall '-C 2y'
_cell_length_a 17.150
_cell_length_b 3.867
_cell_length_c 7.907
_cell_angle_alpha 90.00
_cell_angle_beta 105.05
_cell_angle_gamma 90.00
loop_
_atom_site_label
_atom_site_type_symbol
_atom_site_fract_x
_atom_site_fract_y
_atom_site_fract_z
Na1 Na 0.000 0.000 0.000
Li1 Li 0.169 0.500 0.337
U1 U 0.000 0.000 0.500
U2 U 0.166 0.500 0.830
S1 S 0.001 0.500 0.257
S2 S 0.168 0.000 0.580
S3 S 0.169 0.000 0.085
```

no.,N(E_F) (states/eV per cell),E (eV per formula unit)
1,11.78,-77.9
2,10.60,-17.5
3,0.00,-43.5
4,21.32,-66.7
5,23.54,-57.5
6,21.93,-80.0